A geometry-optimized K4Ac3TcO8 structure. Source: Alexandria via LeMat-Bulk, functional PBE.

The value obtained for the total energy is -6.26 eV/atom. For the density, the calculation gives 5.93 Mg/m³. The calculation puts the formation energy without anion corrections at -2092.5 meV per atom. The crystal system is monoclinic. As for the volume: 595.27 Å³/cell.

The space group is C2/m (No. 12) and the conventional cell measures 12.755, 7.382 and 7.623 Å, with angles of 90.00, 123.96 and 90.00 degrees. Symmetry generates all atoms from K at (0.000, 0.000, 0.000), K at (0.000, 0.500, 0.000), K at (0.250, 0.250, 0.000), Ac at (0.000, 0.000, 0.500), Ac at (0.250, 0.250, 0.500), Tc at (0.000, 0.500, 0.500), O at (0.012, 0.276, 0.315), O at (0.222, 0.500, 0.697) and O at (0.235, 0.000, 0.704).

***

A geometry-optimized K4AcTc3O12 structure. Source: Alexandria via LeMat-Bulk, functional PBE.

The value obtained for the total energy is -6.60 eV/atom. For the density, the calculation gives 4.98 Mg/m³. The calculation puts the formation energy without anion corrections at -1646.6 meV per atom. The crystal system is cubic. As for the volume: 579.26 Å³/cell.

The space group is Im-3m (No. 229) and the conventional cell measures 8.336, 8.336 and 8.336 Å, with angles of 90.00, 90.00 and 90.00 degrees. Symmetry generates all atoms from K at (0.250, 0.250, 0.250), Ac at (0.000, 0.000, 0.000), Tc at (0.000, 0.000, 0.500), O at (0.000, 0.000, 0.280) and O at (0.000, 0.250, 0.500).

***

A geometry-optimized K2AcTc3O12 structure. Source: Alexandria via LeMat-Bulk, functional PBE.

The value obtained for the total energy is -7.08 eV/atom. For the density, the calculation gives 4.95 Mg/m³. The calculation puts the formation energy without anion corrections at -1701.4 meV per atom. The crystal system is trigonal. As for the volume: 795.47 Å³/cell.

The space group is R-3m (No. 166, hexagonal axes) and the conventional cell measures 7.4848, 7.4848 and 16.3957 Å, with angles of 90.00, 90.00 and 120.00 degrees. Symmetry generates all atoms from K at (0.0000, 0.0000, 0.1060), Ac at (0.0000, 0.0000, 0.5000), Tc at (0.0000, 0.5000, 0.0000), O at (0.0528, 0.5264, 0.8912) and O at (0.0893, 0.5446, 0.3114).

***

A geometry-optimized KAcTcO6 structure. Source: Alexandria via LeMat-Bulk, functional PBE.

The value obtained for the total energy is -6.86 eV/atom. For the density, the calculation gives 6.03 Mg/m³. The calculation puts the formation energy without anion corrections at -1822.4 meV per atom. The crystal system is triclinic. As for the volume: 126.69 Å³/cell.

The space group is P1 (No. 1) and the conventional cell measures 4.506, 5.493 and 5.807 Å, with angles of 118.14, 91.37 and 90.12 degrees. Symmetry generates all atoms from K at (0.000, 0.000, 0.000), Ac at (0.573, 0.315, 0.629), Tc at (0.242, 0.658, 0.316), O at (0.069, 0.008, 0.533), O at (0.072, 0.523, 0.534), O at (0.496, 0.363, 0.208), O at (0.496, 0.846, 0.208), O at (0.539, 0.832, 0.662) and O at (0.990, 0.521, 0.042).

***

A geometry-optimized KAc3Te4O12 structure. Source: Alexandria via LeMat-Bulk, functional PBE.

The value obtained for the total energy is -5.97 eV/atom. For the density, the calculation gives 5.23 Mg/m³. The calculation puts the formation energy without anion corrections at -1696.7 meV per atom. The crystal system is trigonal. As for the volume: 1355.01 Å³/cell.

The space group is R32 (No. 155, hexagonal axes) and the conventional cell measures 13.1960, 13.1960 and 8.9853 Å, with angles of 90.00, 90.00 and 120.00 degrees. Symmetry generates all atoms from K at (0.0000, 0.0000, 0.0000), Ac at (0.0000, 0.5499, 0.0000), Te at (0.0000, 0.0000, 0.5000), Te at (0.0000, 0.4534, 0.5000), O at (0.0000, 0.6136, 0.5000), O at (0.0000, 0.8441, 0.5000) and O at (0.0356, 0.2296, 0.1761).

***

A geometry-optimized KAcTeO6 structure. Source: Alexandria via LeMat-Bulk, functional PBE.

The value obtained for the total energy is -5.77 eV/atom. For the density, the calculation gives 5.11 Mg/m³. The calculation puts the formation energy without anion corrections at -1532.8 meV per atom. The crystal system is trigonal. As for the volume: 158.99 Å³/cell.

The space group is P312 (No. 149) and the conventional cell measures 6.0313, 6.0313 and 5.0469 Å, with angles of 90.00, 90.00 and 120.00 degrees. Symmetry generates all atoms from K at (0.0000, 0.0000, 0.0000), Ac at (0.3333, 0.6667, 0.5000), Te at (0.6667, 0.3333, 0.0000) and O at (0.4240, 0.0483, 0.7828).

***

Look up the formation energy without anion corrections of the first one. -2092.5 meV per atom

***

Which of these has the highest formation energy without anion corrections? KAcTeO6

***

Number 4 is which compound? KAcTcO6

***

Please write out number 5 again, unchanged.
A geometry-optimized KAc3Te4O12 structure. Source: Alexandria via LeMat-Bulk, functional PBE.

The value obtained for the total energy is -5.97 eV/atom. For the density, the calculation gives 5.23 Mg/m³. The calculation puts the formation energy without anion corrections at -1696.7 meV per atom. The crystal system is trigonal. As for the volume: 1355.01 Å³/cell.

The space group is R32 (No. 155, hexagonal axes) and the conventional cell measures 13.1960, 13.1960 and 8.9853 Å, with angles of 90.00, 90.00 and 120.00 degrees. Symmetry generates all atoms from K at (0.0000, 0.0000, 0.0000), Ac at (0.0000, 0.5499, 0.0000), Te at (0.0000, 0.0000, 0.5000), Te at (0.0000, 0.4534, 0.5000), O at (0.0000, 0.6136, 0.5000), O at (0.0000, 0.8441, 0.5000) and O at (0.0356, 0.2296, 0.1761).